First-principles (SCAN) data for KSrTl2 at its PBEsol-relaxed geometry, as listed in the Alexandria database.

Fermi-level density of states = 1.683 states/eV/f.u.
Space-group type = Pmm2
ΔH_f (0 K) = -140 kJ/mol of formula units

Cell and atoms, written as CIF:
```
data_KSrTl2
_chemical_formula_sum 'K1 Sr1 Tl2'
_symmetry_space_group_name_H-M 'P 1'
_symmetry_Int_Tables_number 1
_symmetry_space_group_name_Hall 'P 1'
_cell_length_a 3.866
_cell_length_b 5.672
_cell_length_c 5.945
_cell_angle_alpha 90.00
_cell_angle_beta 90.00
_cell_angle_gamma 90.00
loop_
_atom_site_label
_atom_site_fract_x
_atom_site_fract_y
_atom_site_fract_z
_atom_site_occupancy
Sr1 0.500 0.500 0.160 1
Tl1 0.000 0.500 0.687 1
Tl2 0.000 0.000 0.067 1
K1 0.500 0.000 0.586 1
```

***

First-principles (SCAN) data for MgSbCl2 at its PBEsol-relaxed geometry, as listed in the Alexandria database.

Formation energy from raw total energies = -0.98 eV per atom
Fermi-level density of states = 0.661 states/eV/f.u.
Space-group type = Cm

Cell and atoms, written as CIF:
```
data_MgSbCl2
_chemical_formula_sum 'Mg1 Sb1 Cl2'
_symmetry_space_group_name_H-M 'P 1'
_symmetry_Int_Tables_number 1
_symmetry_space_group_name_Hall 'P 1'
_cell_length_a 3.277
_cell_length_b 5.545
_cell_length_c 5.599
_cell_angle_alpha 101.66
_cell_angle_beta 107.02
_cell_angle_gamma 90.00
loop_
_atom_site_label
_atom_site_fract_x
_atom_site_fract_y
_atom_site_fract_z
_atom_site_occupancy
Cl1 0.183 0.616 0.366 1
Cl2 0.986 0.983 0.972 1
Sb1 0.821 0.261 0.643 1
Mg1 0.510 0.639 0.020 1
```

***

First-principles (SCAN) data for PtSe2Cl at its PBEsol-relaxed geometry, as listed in the Alexandria database.

Formation energy from raw total energies = -0.38 eV per atom
Fermi-level density of states = 2.015 states/eV/f.u.
Space-group type = R-3m

Cell and atoms, written as CIF:
```
data_PtSe2Cl
_chemical_formula_sum 'Pt1 Se2 Cl1'
_symmetry_space_group_name_H-M 'P 1'
_symmetry_Int_Tables_number 1
_symmetry_space_group_name_Hall 'P 1'
_cell_length_a 3.750
_cell_length_b 3.750
_cell_length_c 7.012
_cell_angle_alpha 74.49
_cell_angle_beta 74.49
_cell_angle_gamma 60.00
loop_
_atom_site_label
_atom_site_fract_x
_atom_site_fract_y
_atom_site_fract_z
_atom_site_occupancy
Se1 0.729 0.729 0.812 1
Se2 0.271 0.271 0.188 1
Pt1 0.000 0.000 0.000 1
Cl1 0.500 0.500 0.500 1
```

***

First-principles (SCAN) data for HgHSe2N at its PBEsol-relaxed geometry, as listed in the Alexandria database.

Uncorrected energy = -22.449 eV/atom
Fermi-level density of states = 2.126 states/eV/f.u.
Space-group type = P4/mmm

Cell and atoms, written as CIF:
```
data_HgHSe2N
_chemical_formula_sum 'Hg1 H1 Se2 N1'
_symmetry_space_group_name_H-M 'P 1'
_symmetry_Int_Tables_number 1
_symmetry_space_group_name_Hall 'P 1'
_cell_length_a 4.096
_cell_length_b 5.335
_cell_length_c 5.335
_cell_angle_alpha 90.00
_cell_angle_beta 90.00
_cell_angle_gamma 90.00
loop_
_atom_site_label
_atom_site_fract_x
_atom_site_fract_y
_atom_site_fract_z
_atom_site_occupancy
Hg1 0.000 0.000 0.000 1
Se1 0.000 0.500 0.000 1
Se2 0.000 0.000 0.500 1
N1 0.500 0.000 0.000 1
H1 0.500 0.500 0.500 1
```

***

First-principles (SCAN) data for SrMn2Tl at its PBEsol-relaxed geometry, as listed in the Alexandria database.

Fermi-level density of states = 3.372 states/eV/f.u.
Space-group type = C2/m
ΔH_f (0 K) = 29 kJ/mol of formula units

Cell and atoms, written as CIF:
```
data_SrMn2Tl
_chemical_formula_sum 'Sr1 Mn2 Tl1'
_symmetry_space_group_name_H-M 'P 1'
_symmetry_Int_Tables_number 1
_symmetry_space_group_name_Hall 'P 1'
_cell_length_a 4.606
_cell_length_b 4.606
_cell_length_c 5.946
_cell_angle_alpha 67.13
_cell_angle_beta 67.13
_cell_angle_gamma 60.08
loop_
_atom_site_label
_atom_site_fract_x
_atom_site_fract_y
_atom_site_fract_z
_atom_site_occupancy
Mn1 0.198 0.198 0.905 1
Mn2 0.802 0.802 0.095 1
Sr1 0.000 0.000 0.500 1
Tl1 0.500 0.500 0.000 1
```

***

First-principles (SCAN) data for Li3FeP2O8 at its PBEsol-relaxed geometry, as listed in the Alexandria database.

Formation energy from raw total energies = -2.42 eV per atom
Space-group type = P2_1/c

Cell and atoms, written as CIF:
```
data_Li3FeP2O8
_chemical_formula_sum 'Li12 Fe4 P8 O32'
_symmetry_space_group_name_H-M 'P 1'
_symmetry_Int_Tables_number 1
_symmetry_space_group_name_Hall 'P 1'
_cell_length_a 4.877
_cell_length_b 6.265
_cell_length_c 17.686
_cell_angle_alpha 90.00
_cell_angle_beta 90.00
_cell_angle_gamma 93.07
loop_
_atom_site_label
_atom_site_fract_x
_atom_site_fract_y
_atom_site_fract_z
_atom_site_occupancy
Li1 0.216 0.497 0.884 1
Li2 0.716 0.997 0.616 1
Li3 0.216 0.218 0.558 1
Li4 0.784 0.782 0.442 1
Li5 0.178 0.813 0.699 1
Li6 0.678 0.313 0.801 1
Li7 0.784 0.503 0.116 1
Li8 0.716 0.718 0.942 1
Li9 0.822 0.187 0.301 1
Li10 0.284 0.282 0.058 1
Li11 0.284 0.003 0.384 1
Li12 0.322 0.687 0.199 1
O1 0.649 0.467 0.433 1
O2 0.710 0.225 0.053 1
O3 0.479 0.005 0.191 1
O4 0.521 0.995 0.809 1
O5 0.095 0.269 0.440 1
O6 0.548 0.597 0.826 1
O7 0.290 0.775 0.947 1
O8 0.595 0.769 0.060 1
O9 0.790 0.275 0.553 1
O10 0.851 0.033 0.933 1
O11 0.020 0.178 0.199 1
O12 0.952 0.903 0.326 1
O13 0.048 0.097 0.674 1
O14 0.639 0.064 0.435 1
O15 0.021 0.495 0.691 1
O16 0.980 0.822 0.801 1
O17 0.452 0.403 0.174 1
O18 0.861 0.436 0.935 1
O19 0.361 0.936 0.565 1
O20 0.891 0.729 0.197 1
O21 0.149 0.967 0.067 1
O22 0.979 0.505 0.309 1
O23 0.905 0.731 0.560 1
O24 0.109 0.271 0.803 1
O25 0.351 0.533 0.567 1
O26 0.609 0.771 0.697 1
O27 0.480 0.322 0.699 1
O28 0.520 0.678 0.301 1
O29 0.391 0.229 0.303 1
O30 0.210 0.725 0.447 1
O31 0.405 0.231 0.940 1
O32 0.139 0.564 0.065 1
Fe1 0.691 0.516 0.627 1
Fe2 0.309 0.484 0.373 1
Fe3 0.191 0.016 0.873 1
Fe4 0.809 0.984 0.127 1
P1 0.785 0.267 0.465 1
P2 0.666 0.791 0.784 1
P3 0.285 0.767 0.035 1
P4 0.334 0.209 0.216 1
P5 0.834 0.709 0.284 1
P6 0.715 0.233 0.965 1
P7 0.166 0.291 0.716 1
P8 0.215 0.733 0.535 1
```